A plane-wave DFT calculation with PBE+U was carried out for a geometry-optimized MnOF structure.

The structure in CIF format:
```
data_MnOF
_chemical_formula_sum 'Mn8 O8 F8'
_cell_length_a 5.6942
_cell_length_b 4.6192
_cell_length_c 10.4430
_cell_angle_alpha 90.00
_cell_angle_beta 95.97
_cell_angle_gamma 90.00
_symmetry_space_group_name_H-M 'P 1 21/c 1'
_symmetry_Int_Tables_number 14
_symmetry_space_group_name_Hall '-P 2ybc'
loop_
_atom_site_label
_atom_site_type_symbol
_atom_site_fract_x
_atom_site_fract_y
_atom_site_fract_z
_atom_site_occupancy
Mn1 Mn 0.1177 0.0344 0.3622 1
Mn2 Mn 0.3720 0.0245 0.1134 1
O1 O 0.1068 0.2129 0.1947 1
O2 O 0.3641 0.2015 0.9467 1
F1 F 0.1498 0.6911 0.0289 1
F2 F 0.3867 0.7011 0.7749 1
```

Results
Its mass density is 4.37 g/cm³. As for the density of states at the Fermi level: 4.967 states/eV per cell. The calculation puts the final energy at -161.19 eV for the cell shown.